A geometry-optimized PmNdAs2Pd2 structure, computed with GGA-PBE.

Cell lengths 4.3809, 4.3809, 7.7977 Å; angles 90.00, 90.00, 120.00 degrees
Last column: nearest neighbours and their distance in Å.
Space group P-3m1 (No. 164)
Asymmetric unit:
Pm: 0.0000 0.0000 0.0000 x1  6 Pd 3.18, 6 As 3.19
Nd: 0.0000 0.0000 0.5000 x1  6 As 3.20, 6 Pd 3.21
As: 0.3333 0.6667 0.7515 x2  3 Pd 2.53
Pd: 0.3333 0.6667 0.2474 x2  3 As 2.53

total magnetization = 0.0 μB/f.u.
final energy = -6.048 eV per atom
ΔH_f (0 K) = -7.09 eV/f.u.

=====

A geometry-optimized PmNdAsPd structure, computed with GGA-PBE.

Cell lengths 7.2779, 7.2779, 7.2779 Å; angles 90.00, 90.00, 90.00 degrees
Last column: nearest neighbours and their distance in Å.
Space group F-43m (No. 216)
Asymmetric unit:
Pm: 0.0000 0.0000 0.0000 x4  4 Pd 3.15, 4 As 3.15
Nd: 0.0000 0.0000 0.5000 x4  4 As 3.15, 4 Pd 3.15
As: 0.2500 0.2500 0.7500 x4  4 Nd 3.15, 4 Pm 3.15
Pd: 0.2500 0.2500 0.2500 x4  4 Nd 3.15, 4 Pm 3.15

total magnetization = 0.9 μB/f.u.
final energy = -5.719 eV per atom
ΔH_f (0 K) = -3.52 eV/f.u.

=====

A geometry-optimized Nd2As3PdPt4 structure, computed with GGA-PBE.

Cell lengths 4.3430, 4.3430, 10.4369 Å; angles 90.00, 90.00, 90.00 degrees
Last column: nearest neighbours and their distance in Å.
Space group P-4m2 (No. 115)
Asymmetric unit:
Nd: 0.0000 0.5000 0.2502 x2  8 Pt 3.28-3.39, 6 As 3.32-3.40, 2 Pd 3.40
As: 0.0000 0.0000 0.0000 x1  4 Pt 2.62
As: 0.0000 0.5000 0.6297 x2  5 Pt 2.40-2.56
Pd: 0.5000 0.5000 0.0000 x1  4 Pt 2.62
Pt: 0.0000 0.0000 0.5000 x1  4 As 2.56
Pt: 0.0000 0.5000 0.8593 x2  3 As 2.40-2.62, 2 Pd 2.62
Pt: 0.5000 0.5000 0.5000 x1  4 As 2.56

total magnetization = 0.0 μB/f.u.
final energy = -6.086 eV per atom
ΔH_f (0 K) = -8.02 eV/f.u.

=====

A geometry-optimized Nd2As4PdPt3 structure, computed with GGA-PBE.

Cell lengths 4.4712, 4.4712, 9.8933 Å; angles 90.00, 90.00, 90.00 degrees
Last column: nearest neighbours and their distance in Å.
Space group P-4m2 (No. 115)
Asymmetric unit:
Nd: 0.0000 0.5000 0.2487 x2  2 Pd 3.32, 7 Pt 3.32-3.68, 8 As 3.34-3.37
As: 0.0000 0.0000 0.5000 x1  4 Pt 2.53
As: 0.0000 0.5000 0.8703 x2  3 Pt 2.47-2.58, 2 Pd 2.58
As: 0.5000 0.5000 0.5000 x1  4 Pt 2.53
Pd: 0.5000 0.5000 0.0000 x1  4 As 2.58
Pt: 0.0000 0.0000 0.0000 x1  4 As 2.58
Pt: 0.0000 0.5000 0.6202 x2  5 As 2.47-2.53

total magnetization = 0.0 μB/f.u.
final energy = -6.041 eV per atom
ΔH_f (0 K) = -8.96 eV/f.u.

=====

A geometry-optimized Nd2As4Pd3Pt structure, computed with GGA-PBE.

Cell lengths 4.4559, 4.4559, 9.9139 Å; angles 90.00, 90.00, 90.00 degrees
Last column: nearest neighbours and their distance in Å.
Space group P-4m2 (No. 115)
Asymmetric unit:
Nd: 0.0000 0.5000 0.2495 x2  8 As 3.33-3.37, 7 Pd 3.34-3.68, 2 Pt 3.34
As: 0.0000 0.0000 0.0000 x1  4 Pd 2.53
As: 0.0000 0.5000 0.6304 x2  3 Pd 2.46-2.58, 2 Pt 2.58
As: 0.5000 0.5000 0.0000 x1  4 Pd 2.53
Pd: 0.0000 0.5000 0.8786 x2  5 As 2.46-2.53
Pd: 0.5000 0.5000 0.5000 x1  4 As 2.58
Pt: 0.0000 0.0000 0.5000 x1  4 As 2.58

total magnetization = 0.0 μB/f.u.
final energy = -5.837 eV per atom
ΔH_f (0 K) = -8.62 eV/f.u.

=====

A geometry-optimized NdPuAs2Pd2 structure, computed with GGA-PBE.

Cell lengths 4.3690, 4.3690, 7.7268 Å; angles 90.00, 90.00, 120.00 degrees
Last column: nearest neighbours and their distance in Å.
Space group P-3m1 (No. 164)
Asymmetric unit:
Nd: 0.0000 0.0000 0.0000 x1  6 Pd 3.17, 6 As 3.23
Pu: 0.0000 0.0000 0.5000 x1  6 As 3.13, 6 Pd 3.18
As: 0.3333 0.6667 0.7389 x2  3 Pd 2.52
Pd: 0.3333 0.6667 0.2490 x2  3 As 2.52

total magnetization = 5.1 μB/f.u.
final energy = -7.463 eV per atom
ΔH_f (0 K) = -6.00 eV/f.u.